# 1
Material: Ba3Sr6In
Method: DFT, PBE
State: optimized geometry

Results
- Formation energy from the elements: -24 meV/atom
- Density of states at the Fermi level: 27.26 states/eV per cell

Structure (CIF):
```
data_Ba3Sr6In
_chemical_formula_sum 'Ba6 Sr12 In2'
_space_group_name_H-M_alt 'P 1 21/m 1'
_space_group_IT_number 11
_cell_length_a 14.618
_cell_length_b 4.184
_cell_length_c 17.470
_cell_angle_alpha 90.00
_cell_angle_beta 92.31
_cell_angle_gamma 90.00
loop_
_space_group_symop_operation_xyz
'x,y,z'
'-x,-y,-z'
'-x,y+1/2,-z'
'x,-y+1/2,z'
loop_
_atom_site_label
_atom_site_type_symbol
_atom_site_fract_x
_atom_site_fract_y
_atom_site_fract_z
Ba1 Ba 0.024 0.250 0.297
Ba2 Ba 0.102 0.250 0.082
Ba3 Ba 0.438 0.250 0.813
Sr1 Sr 0.128 0.750 0.485
Sr2 Sr 0.191 0.750 0.878
Sr3 Sr 0.226 0.250 0.662
Sr4 Sr 0.298 0.750 0.292
Sr5 Sr 0.375 0.250 0.042
Sr6 Sr 0.454 0.750 0.590
In1 In 0.315 0.250 0.464
```


# 2
Material: Pm4Tl5Zn2
Method: DFT, PBE
State: optimized geometry

Results
- Formation energy from the elements: -303 meV/atom
- Density of states at the Fermi level: 9.75 states/eV per cell

Structure (CIF):
```
data_Pm4Tl5Zn2
_chemical_formula_sum 'Pm4 Tl5 Zn2'
_space_group_name_H-M_alt 'P 1 2/m 1'
_space_group_IT_number 10
_cell_length_a 8.222
_cell_length_b 3.793
_cell_length_c 9.683
_cell_angle_alpha 90.00
_cell_angle_beta 90.64
_cell_angle_gamma 90.00
loop_
_space_group_symop_operation_xyz
'x,y,z'
'-x,-y,-z'
'-x,y,-z'
'x,-y,z'
loop_
_atom_site_label
_atom_site_type_symbol
_atom_site_fract_x
_atom_site_fract_y
_atom_site_fract_z
Pm1 Pm 0.209 0.000 0.357
Pm2 Pm 0.239 0.000 0.901
Tl1 Tl 0.129 0.500 0.633
Tl2 Tl 0.435 0.500 0.154
Tl3 Tl 0.500 0.500 0.500
Zn1 Zn 0.073 0.500 0.119
```


# 3
Material: Tb2Ce3ScS6
Method: DFT, PBE
State: optimized geometry

Results
- Formation energy without anion corrections: -1999 meV per atom
- Density of states at the Fermi level: 32.65 states/eV per cell

Structure (CIF):
```
data_Tb2Ce3ScS6
_chemical_formula_sum 'Tb4 Ce6 Sc2 S12'
_space_group_name_H-M_alt 'C 1 2/m 1'
_space_group_IT_number 12
_cell_length_a 6.786
_cell_length_b 11.763
_cell_length_c 6.891
_cell_angle_alpha 90.00
_cell_angle_beta 109.25
_cell_angle_gamma 90.00
loop_
_space_group_symop_operation_xyz
'x,y,z'
'-x,-y,-z'
'-x,y,-z'
'x,-y,z'
'x+1/2,y+1/2,z'
'-x+1/2,-y+1/2,-z'
'-x+1/2,y+1/2,-z'
'x+1/2,-y+1/2,z'
loop_
_atom_site_label
_atom_site_type_symbol
_atom_site_fract_x
_atom_site_fract_y
_atom_site_fract_z
Tb1 Tb 0.000 0.166 0.000
Ce1 Ce 0.000 0.000 0.500
Ce2 Ce 0.000 0.330 0.500
Sc1 Sc 0.000 0.500 0.000
S1 S 0.239 0.338 0.233
S2 S 0.244 0.500 0.763
```


# 4
Material: Ac2ScCu
Method: DFT, PBE
State: optimized geometry

Results
- Formation energy from the elements: 38 meV/atom
- Relative energy among the computed polymorphs: 0.0 meV/atom
- Density of states at the Fermi level: 5.25 states/eV per cell

Structure (CIF):
```
data_Ac2ScCu
_chemical_formula_sum 'Ac2 Sc1 Cu1'
_space_group_name_H-M_alt 'P 4/m m m'
_space_group_IT_number 123
_space_group_name_Hall '-P 4 2'
_cell_length_a 3.859
_cell_length_b 3.859
_cell_length_c 8.329
_cell_angle_alpha 90.00
_cell_angle_beta 90.00
_cell_angle_gamma 90.00
loop_
_atom_site_label
_atom_site_type_symbol
_atom_site_fract_x
_atom_site_fract_y
_atom_site_fract_z
Ac1 Ac 0.000 0.000 0.222
Sc1 Sc 0.500 0.500 0.500
Cu1 Cu 0.500 0.500 0.000
```


# 5
Material: K2PaTiTe4
Method: DFT, PBE
State: optimized geometry

Results
- Formation energy without anion corrections: -896 meV per atom
- Density of states at the Fermi level: 4.23 states/eV per cell

Structure (CIF):
```
data_K2PaTiTe4
_chemical_formula_sum 'K2 Pa1 Ti1 Te4'
_space_group_name_H-M_alt 'P 1 2/m 1'
_space_group_IT_number 10
_cell_length_a 7.338
_cell_length_b 4.339
_cell_length_c 8.768
_cell_angle_alpha 90.00
_cell_angle_beta 106.76
_cell_angle_gamma 90.00
loop_
_space_group_symop_operation_xyz
'x,y,z'
'-x,-y,-z'
'-x,y,-z'
'x,-y,z'
loop_
_atom_site_label
_atom_site_type_symbol
_atom_site_fract_x
_atom_site_fract_y
_atom_site_fract_z
K1 K 0.000 0.000 0.000
K2 K 0.500 0.500 0.000
Pa1 Pa 0.000 0.500 0.500
Ti1 Ti 0.500 0.000 0.500
Te1 Te 0.252 0.000 0.710
Te2 Te 0.281 0.500 0.301
```


# 6
Material: Ca2NiPbN
Method: DFT, PBE
State: optimized geometry

Results
- Formation energy without anion corrections: -477 meV per atom
- Density of states at the Fermi level: 3.58 states/eV per cell

Structure (CIF):
```
data_Ca2NiPbN
_chemical_formula_sum 'Ca2 Ni1 Pb1 N1'
_space_group_name_H-M_alt 'P 4/m m m'
_space_group_IT_number 123
_space_group_name_Hall '-P 4 2'
_cell_length_a 5.351
_cell_length_b 5.351
_cell_length_c 3.583
_cell_angle_alpha 90.00
_cell_angle_beta 90.00
_cell_angle_gamma 90.00
loop_
_atom_site_label
_atom_site_type_symbol
_atom_site_fract_x
_atom_site_fract_y
_atom_site_fract_z
Ca1 Ca 0.000 0.500 0.000
Ni1 Ni 0.000 0.000 0.500
Pb1 Pb 0.500 0.500 0.500
N1 N 0.000 0.000 0.000
```


# 7
Material: SbOF3
Method: DFT, PBE
State: optimized geometry

Results
- Formation energy without anion corrections: -1924 meV per atom
- Relative energy among the computed polymorphs: 32.2 meV/atom

Structure (CIF):
```
data_SbOF3
_chemical_formula_sum 'Sb4 O4 F12'
_space_group_name_H-M_alt 'C m c m'
_space_group_IT_number 63
_space_group_name_Hall '-C 2c 2'
_cell_length_a 9.572
_cell_length_b 5.575
_cell_length_c 5.676
_cell_angle_alpha 90.00
_cell_angle_beta 90.00
_cell_angle_gamma 90.00
loop_
_atom_site_label
_atom_site_type_symbol
_atom_site_fract_x
_atom_site_fract_y
_atom_site_fract_z
Sb1 Sb 0.000 0.225 0.250
O1 O 0.000 0.000 0.000
F1 F 0.000 0.500 0.000
F2 F 0.194 0.285 0.250
```


# 8
Material: InPAu2
Method: DFT, PBE
State: optimized geometry

Results
- Formation energy from the elements: -45 meV/atom
- Relative energy among the computed polymorphs: 0.0 meV/atom
- Density of states at the Fermi level: 0.91 states/eV per cell

Structure (CIF):
```
data_InPAu2
_chemical_formula_sum 'In4 P4 Au8'
_space_group_name_H-M_alt 'I -4 2 d'
_space_group_IT_number 122
_space_group_name_Hall 'I -4 2bw'
_cell_length_a 5.234
_cell_length_b 5.234
_cell_length_c 14.549
_cell_angle_alpha 90.00
_cell_angle_beta 90.00
_cell_angle_gamma 90.00
loop_
_atom_site_label
_atom_site_type_symbol
_atom_site_fract_x
_atom_site_fract_y
_atom_site_fract_z
In1 In 0.000 0.000 0.000
P1 P 0.000 0.000 0.500
Au1 Au 0.151 0.250 0.625
```


# 9
Material: PmDy4Y2Er2
Method: DFT, PBE
State: optimized geometry

Results
- Formation energy from the elements: 1 meV/atom
- Density of states at the Fermi level: 24.71 states/eV per cell

Structure (CIF):
```
data_PmDy4Y2Er2
_chemical_formula_sum 'Pm2 Dy8 Y4 Er4'
_space_group_name_H-M_alt 'C 1 2/m 1'
_space_group_IT_number 12
_cell_length_a 18.615
_cell_length_b 3.585
_cell_length_c 9.527
_cell_angle_alpha 90.00
_cell_angle_beta 115.73
_cell_angle_gamma 90.00
loop_
_space_group_symop_operation_xyz
'x,y,z'
'-x,-y,-z'
'-x,y,-z'
'x,-y,z'
'x+1/2,y+1/2,z'
'-x+1/2,-y+1/2,-z'
'-x+1/2,y+1/2,-z'
'x+1/2,-y+1/2,z'
loop_
_atom_site_label
_atom_site_type_symbol
_atom_site_fract_x
_atom_site_fract_y
_atom_site_fract_z
Pm1 Pm 0.000 0.000 0.000
Dy1 Dy 0.018 0.500 0.334
Dy2 Dy 0.185 0.000 0.335
Y1 Y 0.148 0.000 0.667
Er1 Er 0.168 0.500 0.002
```


# 10
Material: Ag2BC
Method: DFT, PBE
State: optimized geometry

Results
- Formation energy from the elements: 1794 meV/atom
- Relative energy among the computed polymorphs: 0.0 meV/atom
- Density of states at the Fermi level: 7.48 states/eV per cell

Structure (CIF):
```
data_Ag2BC
_chemical_formula_sum 'Ag8 B4 C4'
_space_group_name_H-M_alt 'I -4 2 d'
_space_group_IT_number 122
_space_group_name_Hall 'I -4 2bw'
_cell_length_a 4.044
_cell_length_b 4.044
_cell_length_c 13.725
_cell_angle_alpha 90.00
_cell_angle_beta 90.00
_cell_angle_gamma 90.00
loop_
_atom_site_label
_atom_site_type_symbol
_atom_site_fract_x
_atom_site_fract_y
_atom_site_fract_z
Ag1 Ag 0.242 0.250 0.125
B1 B 0.000 0.000 0.500
C1 C 0.000 0.000 0.000
```


# 11
Material: CaTb2Tl
Method: DFT, PBE
State: optimized geometry

Results
- Formation energy from the elements: -147 meV/atom
- Relative energy among the computed polymorphs: 0.0 meV/atom
- Density of states at the Fermi level: 3.81 states/eV per cell

Structure (CIF):
```
data_CaTb2Tl
_chemical_formula_sum 'Ca1 Tb2 Tl1'
_space_group_name_H-M_alt 'P 4/m m m'
_space_group_IT_number 123
_space_group_name_Hall '-P 4 2'
_cell_length_a 4.940
_cell_length_b 4.940
_cell_length_c 4.871
_cell_angle_alpha 90.00
_cell_angle_beta 90.00
_cell_angle_gamma 90.00
loop_
_atom_site_label
_atom_site_type_symbol
_atom_site_fract_x
_atom_site_fract_y
_atom_site_fract_z
Ca1 Ca 0.000 0.000 0.000
Tb1 Tb 0.000 0.500 0.500
Tl1 Tl 0.500 0.500 0.000
```


# 12
Material: Ac2TmCd3In4
Method: DFT, PBE
State: optimized geometry

Results
- Formation energy from the elements: -333 meV/atom
- Density of states at the Fermi level: 5.85 states/eV per cell

Structure (CIF):
```
data_Ac2TmCd3In4
_chemical_formula_sum 'Ac2 Tm1 Cd3 In4'
_space_group_name_H-M_alt 'P -4 m 2'
_space_group_IT_number 115
_cell_length_a 4.783
_cell_length_b 4.783
_cell_length_c 12.626
_cell_angle_alpha 90.00
_cell_angle_beta 90.00
_cell_angle_gamma 90.00
loop_
_space_group_symop_operation_xyz
'x,y,z'
'y,-x,-z'
'-x,-y,z'
'-y,x,-z'
'-x,y,z'
'-y,-x,-z'
'x,-y,z'
'y,x,-z'
loop_
_atom_site_label
_atom_site_type_symbol
_atom_site_fract_x
_atom_site_fract_y
_atom_site_fract_z
Ac1 Ac 0.000 0.500 0.240
Tm1 Tm 0.000 0.000 0.500
Cd1 Cd 0.000 0.500 0.866
Cd2 Cd 0.500 0.500 0.500
In1 In 0.000 0.000 0.000
In2 In 0.000 0.500 0.646
In3 In 0.500 0.500 0.000
```